This record from the Alexandria database describes a crystal of InCoAu4 relaxed with PBEsol. The functional is SCAN.

Cell and atoms, written as extended XYZ:
```
6
Lattice="5.3719 0.0000 0.0000 2.6860 4.6522 0.0000 2.6860 1.5507 4.3861" Properties=species:S:1:pos:R:3 pbc="T T T"
Au 6.7114 2.3281 1.6462
Au 4.0325 2.3281 1.6462
Au 5.3719 3.1015 3.8336
Au 5.3719 4.6481 1.6462
Co 8.0579 4.6522 3.2896
In 0.0000 0.0000 0.0000
```

- Total moment: 1.96 μB/f.u.
- Energy relative to the elements: 1.02 eV per formula unit
- DOS(E_F): 0.43 states/eV/atom

This record from the Alexandria database describes a crystal of Al2CdGaPd relaxed with PBEsol. The functional is SCAN.

Cell and atoms, written as extended XYZ:
```
5
Lattice="4.7482 0.0000 0.0000 0.0000 4.7482 0.0000 0.0000 0.0000 4.7580" Properties=species:S:1:pos:R:3 pbc="T T T"
Pd 0.0000 0.0000 0.0000
Al 0.0000 2.3741 0.0000
Al 2.3741 0.0000 0.0000
Ga 0.0000 0.0000 2.3790
Cd 2.3741 2.3741 2.3790
```

- Total moment: 0.00 μB/f.u.
- Energy relative to the elements: -0.25 eV per formula unit
- DOS(E_F): 0.25 states/eV/atom

This record from the Alexandria database describes a crystal of Y4Mg5 relaxed with PBEsol. The functional is SCAN.

Cell and atoms, written as extended XYZ:
```
18
Lattice="-1.6094 -4.9821 -3.7615 7.9248 0.9686 -4.6736 -0.3451 -5.4991 7.4313" Properties=species:S:1:pos:R:3 pbc="T T T"
Mg -1.4401 -7.4497 2.1966
Mg 4.1439 -3.0826 -5.9768
Mg 1.2547 -5.2080 -1.9255
Mg -0.5144 -3.0315 1.4732
Mg 2.1715 -0.9310 -2.4583
Mg 4.7157 -4.3047 0.9217
Mg 2.4116 -3.3432 3.3963
Mg 4.3635 -3.6784 -2.5194
Mg 5.1682 -1.1873 -0.6387
Mg 1.6069 -5.8343 1.5156
Y 0.0000 0.0000 0.0000
Y -0.8047 -2.4911 -1.8807
Y -1.3264 -5.6377 -0.2520
Y 1.5326 -3.4017 -4.4368
Y 3.7523 -6.7009 -1.0168
Y -0.6281 -4.8436 3.9218
Y 4.7828 -0.6118 -3.9983
Y 2.2180 -2.8118 0.0130
```

- Energy above the most stable polymorph in this dataset: 37.8 meV per atom
- Total moment: 1.79 μB/f.u.
- Energy relative to the elements: -0.24 eV per formula unit
- DOS(E_F): 0.97 states/eV/atom

This record from the Alexandria database describes a crystal of FeReIr2 relaxed with PBEsol. The functional is SCAN.

Cell and atoms, written as extended XYZ:
```
4
Lattice="-2.5640 0.3723 0.6389 -1.0323 -2.1870 -2.8683 0.1744 -4.2399 3.1700" Properties=species:S:1:pos:R:3 pbc="T T T"
Re -1.7981 -0.9074 -1.1147
Ir 0.1294 -3.1453 2.3517
Ir 0.0450 -1.0945 0.8183
Fe -1.7110 -3.0273 0.4704
```

- Energy above the most stable polymorph in this dataset: 0.6 meV per atom
- Total moment: 2.81 μB/f.u.
- Energy relative to the elements: -0.91 eV per formula unit
- DOS(E_F): 0.51 states/eV/atom